# 1
AlHg2Cl: optimized geometry, PBE-GGA.

Raw formation energy: -0.05 eV per atom
DOS(E_F): 0.157 states/eV/atom
Spin magnetization: 0.000 μB per cell
Symmetry: No. 216

abc: 5.2619 5.2619 5.2619
angles: 60.00 60.00 60.00
Last column: nearest neighbours and their distance in Å.
Element x y z (fractional)
1 Al 0.0000 0.0000 0.0000  4 Hg 3.22, 4 Cl 3.22
2 Hg 0.5000 0.5000 0.5000  4 Hg 3.22, 4 Cl 3.22
3 Hg 0.7500 0.7500 0.7500  4 Hg 3.22, 4 Al 3.22
4 Cl 0.2500 0.2500 0.2500  4 Hg 3.22, 4 Al 3.22

=====

# 2
Al2HgCl: optimized geometry, PBE-GGA.

Raw formation energy: -0.03 eV per atom
DOS(E_F): 0.266 states/eV/atom
Spin magnetization: 0.000 μB per cell
Symmetry: No. 65

abc: 3.2265 3.2265 9.2818
angles: 90.00 90.00 120.78
Last column: nearest neighbours and their distance in Å.
Element x y z (fractional)
1 Al 0.0000 0.0000 0.2319  2 Cl 2.68, 2 Hg 2.96
2 Al 0.0000 0.0000 0.7681  2 Cl 2.68, 2 Hg 2.96
3 Hg 0.5000 0.5000 0.5000  4 Al 2.96, 6 Hg 3.19-3.23
4 Cl 0.5000 0.5000 0.0000  4 Al 2.68

=====

# 3
AlHgCl2: optimized geometry, PBE-GGA.

Raw formation energy: -0.56 eV per atom
DOS(E_F): 0.509 states/eV/atom
Spin magnetization: 0.000 μB per cell
Symmetry: No. 71

abc: 6.6371 6.6371 6.6371
angles: 151.07 128.30 60.34
Last column: nearest neighbours and their distance in Å.
Element x y z (fractional)
1 Al 0.0000 0.0000 0.0000  4 Cl 2.39
2 Hg 0.5000 0.5000 0.0000  2 Hg 3.32, 4 Al 3.34, 4 Cl 3.37
3 Cl 0.1506 0.6506 0.5000  2 Al 2.39
4 Cl 0.8494 0.3494 0.5000  2 Al 2.39

=====

# 4
Al2HgCl: optimized geometry, PBE-GGA.

Raw formation energy: 0.08 eV per atom
DOS(E_F): 0.403 states/eV/atom
Spin magnetization: 0.000 μB per cell
Symmetry: No. 119

abc: 6.2156 6.2156 6.2156
angles: 141.46 141.46 55.64
Last column: nearest neighbours and their distance in Å.
Element x y z (fractional)
1 Al 0.0000 0.0000 0.0000  4 Hg 2.90
2 Al 0.7500 0.2500 0.5000  4 Cl 2.90
3 Hg 0.5000 0.5000 0.0000  4 Al 2.90
4 Cl 0.2500 0.7500 0.5000  4 Al 2.90

=====

# 5
AlHg2Cl8: optimized geometry, PBE-GGA.

Raw formation energy: -0.74 eV per atom
DOS(E_F): 1.377 states/eV/atom
Spin magnetization: 0.592 μB per cell
Symmetry: No. 12

abc: 7.6268 7.6268 6.2481
angles: 98.48 98.48 71.10
Last column: nearest neighbours and their distance in Å.
Element x y z (fractional)
1 Al 0.0000 0.0000 0.0000  6 Cl 2.30-2.37
2 Hg 0.2150 0.2150 0.7113  3 Cl 2.34-2.56
3 Hg 0.7850 0.7850 0.2887  3 Cl 2.34-2.56
4 Cl 0.1165 0.7421 0.2069  1 Al 2.37, 1 Hg 2.56
5 Cl 0.1656 0.1656 0.2358  1 Al 2.30
6 Cl 0.2579 0.8835 0.7931  1 Al 2.37, 1 Hg 2.56
7 Cl 0.4029 0.4029 0.7073  1 Hg 2.34
8 Cl 0.5971 0.5971 0.2927  1 Hg 2.34
9 Cl 0.7421 0.1165 0.2069  1 Al 2.37, 1 Hg 2.56
10 Cl 0.8344 0.8344 0.7642  1 Al 2.30
11 Cl 0.8835 0.2579 0.7931  1 Al 2.37, 1 Hg 2.56

=====

# 6
Al2HgCl: optimized geometry, PBE-GGA.

Raw formation energy: 0.07 eV per atom
DOS(E_F): 0.355 states/eV/atom
Spin magnetization: 0.000 μB per cell
Symmetry: No. 123

abc: 3.2066 3.2066 8.3438
angles: 90.00 90.00 90.00
Last column: nearest neighbours and their distance in Å.
Element x y z (fractional)
1 Al 0.0000 0.0000 0.2455  4 Cl 3.06, 4 Hg 3.11, 4 Al 3.21
2 Al 0.0000 0.0000 0.7545  4 Cl 3.06, 4 Hg 3.11, 4 Al 3.21
3 Hg 0.5000 0.5000 0.5000  8 Al 3.11, 4 Hg 3.21
4 Cl 0.5000 0.5000 0.0000  8 Al 3.06, 4 Cl 3.21

=====

# 7
AlHg2Cl: optimized geometry, PBE-GGA.

Raw formation energy: -0.22 eV per atom
DOS(E_F): 0.111 states/eV/atom
Spin magnetization: 0.000 μB per cell
Symmetry: No. 35

abc: 3.3768 3.3768 10.7584
angles: 90.00 90.00 120.29
Last column: nearest neighbours and their distance in Å.
Element x y z (fractional)
1 Al 0.0000 0.0000 0.0000  2 Cl 2.42
2 Hg 0.0000 0.0000 0.4998  8 Hg 3.35-3.38
3 Hg 0.5000 0.5000 0.2299  2 Al 2.99
4 Cl 0.5000 0.5000 0.8379  2 Al 2.42

=====

# 8
AlHgCl2: optimized geometry, PBE-GGA.

Raw formation energy: -0.21 eV per atom
DOS(E_F): 0.351 states/eV/atom
Spin magnetization: 0.000 μB per cell
Symmetry: No. 119

abc: 7.1452 7.1452 7.1452
angles: 146.98 146.98 47.40
Last column: nearest neighbours and their distance in Å.
Element x y z (fractional)
1 Al 0.0000 0.0000 0.0000  4 Cl 2.87
2 Hg 0.7500 0.2500 0.5000  4 Cl 2.87
3 Cl 0.2500 0.7500 0.5000  4 Hg 2.87
4 Cl 0.5000 0.5000 0.0000  4 Al 2.87